5
Lattice="-1.402 -4.606 -1.178 4.939 -1.409 -0.369 0.008 -1.230 4.801" Properties=species:S:1:pos:R:3 comment="TiHPd2I | the Alexandria database | PBE-GGA | optimized geometry" total_magnetization_mub_per_cell=0.0 spacegroup=P4/mmm energy_ev_per_cell=-17.23 pbc="T T T"
I 0.000 0.000 0.000
Pd -0.701 -2.303 -0.589
Pd 0.004 -0.615 2.401
H 1.772 -3.622 1.627
Ti 2.469 -0.704 -0.185